Run P
Here is a relaxed structure of Ce4Er3Se8 from the Alexandria database. Energies are from GGA-PBE.

The structure in extended XYZ format:
```
15
Lattice="5.819 -5.824 0.000 5.819 5.824 0.000 -5.809 0.000 5.831" Properties=species:S:1:pos:R:3 pbc="T T T"
Ce 0.000 0.000 0.000
Ce 2.909 2.912 0.000
Ce 2.909 -2.912 0.000
Ce 2.915 0.000 2.915
Er 0.005 2.912 2.915
Er 0.005 -2.912 2.915
Er 5.819 0.000 0.000
Se 2.915 2.989 2.915
Se -0.075 0.000 2.971
Se -2.837 0.000 5.756
Se 5.819 2.855 0.000
Se 5.819 -2.855 0.000
Se 8.667 0.000 0.074
Se 5.904 0.000 2.859
Se 2.915 -2.989 2.915
```

Values from the calculation:
As for the space-group type: No. 12. The value obtained for the volume is 26.35 Å³ per atom.

Run Q
Here is a relaxed structure of Ce4Er3Se8 from the Alexandria database. Energies are from GGA-PBE.

The structure in extended XYZ format:
```
15
Lattice="4.061 2.344 7.687 -4.061 2.344 7.687 0.000 -4.689 7.687" Properties=species:S:1:pos:R:3 pbc="T T T"
Ce 0.000 0.000 0.000
Ce 0.000 0.000 3.372
Ce 0.000 0.000 11.530
Ce 0.000 0.000 19.688
Er -2.030 -1.172 7.687
Er -2.030 1.172 15.373
Er 0.000 2.344 7.687
Se 0.000 -2.259 9.462
Se -1.957 1.130 9.462
Se -1.957 -1.130 13.598
Se 0.000 0.000 6.214
Se 0.000 0.000 16.846
Se 1.957 1.130 9.462
Se 1.957 -1.130 13.598
Se 0.000 2.259 13.598
```

Values from the calculation:
As for the space-group type: No. 166. The value obtained for the volume is 29.27 Å³ per atom.

run P (207 meV per atom below the next structure)

Run P
Here is a relaxed structure of Ce2ErSe4 from the Alexandria database. Energies are from GGA-PBE.

The structure in extended XYZ format:
```
14
Lattice="-4.114 4.190 5.794 4.114 -4.190 5.794 4.114 4.190 -5.794" Properties=species:S:1:pos:R:3 pbc="T T T"
Ce 0.000 0.000 0.000
Ce -2.057 2.095 2.897
Ce 0.000 4.190 0.000
Ce 2.057 2.095 2.897
Er 2.057 2.095 -2.897
Er 2.057 -2.095 2.897
Se 4.114 -0.083 2.811
Se 2.060 2.095 -0.058
Se 6.169 2.095 -0.058
Se 4.114 4.107 -2.811
Se 0.000 0.083 8.605
Se -2.054 2.095 5.851
Se 2.054 2.095 5.851
Se 0.000 4.272 2.982
```

Values from the calculation:
As for the space-group type: No. 74. The value obtained for the volume is 28.53 Å³ per atom.

Run Q
Here is a relaxed structure of Ce2ErSe4 from the Alexandria database. Energies are from GGA-PBE.

The structure in extended XYZ format:
```
14
Lattice="1.997 -6.965 0.000 1.997 6.965 0.000 0.000 0.000 14.065" Properties=species:S:1:pos:R:3 pbc="T T T"
Ce 1.997 5.109 8.032
Ce 1.997 5.109 13.067
Ce 1.997 -5.109 0.999
Ce 1.997 -5.109 6.034
Er 1.997 1.743 10.549
Er 1.997 -1.743 3.516
Se 1.997 6.656 10.549
Se 1.997 3.930 1.787
Se 1.997 3.930 5.246
Se 1.997 0.000 0.000
Se 1.997 0.000 7.033
Se 1.997 -3.930 8.820
Se 1.997 -3.930 12.279
Se 1.997 -6.656 3.516
```

Values from the calculation:
As for the space-group type: No. 63. The value obtained for the volume is 27.95 Å³ per atom.

run P (41 meV per atom below the next structure)

Run P
Here is a relaxed structure of CeEr2Se4 from the Alexandria database. Energies are from GGA-PBE.

The structure in extended XYZ format:
```
28
Lattice="13.563 0.000 0.000 0.000 4.026 0.000 0.000 0.000 13.605" Properties=species:S:1:pos:R:3 pbc="T T T"
Ce 1.758 1.007 1.207
Ce 5.024 3.020 8.009
Ce 8.540 1.007 5.595
Ce 11.805 3.020 12.398
Er 1.452 3.020 5.794
Er 2.054 3.020 10.892
Er 4.727 1.007 4.090
Er 5.330 1.007 12.596
Er 8.233 3.020 1.009
Er 8.836 3.020 9.515
Er 11.509 1.007 2.713
Er 12.112 1.007 7.811
Se 0.436 3.020 8.489
Se 0.442 1.007 12.027
Se 2.879 3.020 3.262
Se 3.298 1.007 6.545
Se 3.484 3.020 13.347
Se 3.902 1.007 10.065
Se 6.340 3.020 5.224
Se 6.345 1.007 1.687
Se 7.218 3.020 11.918
Se 7.223 1.007 8.380
Se 9.661 3.020 3.540
Se 10.080 1.007 0.258
Se 10.265 3.020 7.060
Se 10.684 1.007 10.342
Se 13.121 3.020 1.578
Se 13.127 1.007 5.116
```

Values from the calculation:
As for the space-group type: No. 62. The value obtained for the volume is 26.53 Å³ per atom.

Run Q
Here is a relaxed structure of CeEr2Se4 from the Alexandria database. Energies are from GGA-PBE.

The structure in extended XYZ format:
```
14
Lattice="2.018 -6.680 0.000 2.018 6.680 0.000 0.000 0.000 13.777" Properties=species:S:1:pos:R:3 pbc="T T T"
Ce 2.018 5.072 10.333
Ce 2.018 -5.072 3.444
Er 2.018 1.760 7.797
Er 2.018 1.760 12.869
Er 2.018 -1.760 0.909
Er 2.018 -1.760 5.980
Se 0.000 0.000 0.000
Se 0.000 0.000 6.889
Se 2.018 3.041 1.652
Se 2.018 3.041 5.236
Se 2.018 0.587 10.333
Se 2.018 -0.587 3.444
Se 2.018 -3.041 8.541
Se 2.018 -3.041 12.125
```

Values from the calculation:
As for the space-group type: No. 63. The value obtained for the volume is 26.53 Å³ per atom.

run P (7 meV per atom below the next structure)

Run P
Here is a relaxed structure of CeErSi from the Alexandria database. Energies are from GGA-PBE.

The structure in extended XYZ format:
```
6
Lattice="-2.070 2.070 8.289 2.070 -2.070 8.289 2.070 2.070 -8.289" Properties=species:S:1:pos:R:3 pbc="T T T"
Ce 2.070 0.000 0.000
Ce 0.000 2.070 0.000
Er 0.000 0.000 2.993
Er 0.000 0.000 13.584
Si 0.000 0.000 5.961
Si 0.000 0.000 10.616
```

Values from the calculation:
As for the space-group type: No. 139. The value obtained for the volume is 23.68 Å³ per atom.

Run Q
Here is a relaxed structure of CeErSi from the Alexandria database. Energies are from GGA-PBE.

The structure in extended XYZ format:
```
3
Lattice="0.000 3.432 3.432 3.432 0.000 3.432 3.432 3.432 0.000" Properties=species:S:1:pos:R:3 pbc="T T T"
Ce 0.000 0.000 0.000
Er 3.432 3.432 3.432
Si 1.716 1.716 1.716
```

Values from the calculation:
As for the space-group type: No. 216. The value obtained for the volume is 26.96 Å³ per atom.

Run R
Here is a relaxed structure of CeErSi from the Alexandria database. Energies are from GGA-PBE.

The structure in extended XYZ format:
```
6
Lattice="7.540 -2.263 0.000 7.540 2.263 0.000 -0.187 0.000 4.193" Properties=species:S:1:pos:R:3 pbc="T T T"
Ce 2.886 0.000 0.237
Ce 12.007 0.000 3.956
Er -0.093 0.000 2.097
Er 7.540 0.000 0.000
Si 5.362 0.000 2.028
Si 9.531 0.000 2.166
```

Values from the calculation:
As for the space-group type: No. 12. The value obtained for the volume is 23.84 Å³ per atom.

Run S
Here is a relaxed structure of CeErSi from the Alexandria database. Energies are from GGA-PBE.

The structure in extended XYZ format:
```
3
Lattice="4.679 0.000 0.000 -2.339 4.052 0.000 0.000 0.000 4.063" Properties=species:S:1:pos:R:3 pbc="T T T"
Ce 0.000 0.000 0.000
Er 2.339 1.351 1.880
Si 0.000 2.701 2.564
```

Values from the calculation:
As for the space-group type: No. 156. The value obtained for the volume is 25.67 Å³ per atom.

run P (148 meV per atom below the next structure)

Run P
Here is a relaxed structure of CeSm12Er7 from the Alexandria database. Energies are from GGA-PBE.

The structure in extended XYZ format:
```
20
Lattice="9.761 5.636 2.035 -9.761 5.636 2.035 0.000 -11.271 2.035" Properties=species:S:1:pos:R:3 pbc="T T T"
Ce 0.000 0.000 0.000
Sm -3.465 -1.993 1.861
Sm -8.071 0.003 3.050
Sm -4.038 -6.988 3.056
Sm 3.459 -2.004 1.861
Sm 0.006 3.997 1.861
Sm 4.033 -6.991 3.050
Sm -4.033 6.991 3.056
Sm -0.006 -3.997 4.244
Sm -3.459 2.004 4.244
Sm 4.038 6.988 3.050
Sm 8.071 -0.003 3.056
Sm 3.465 1.993 4.244
Er -0.006 -2.727 1.228
Er -2.359 1.369 1.228
Er 2.365 1.358 1.228
Er 0.000 0.000 3.053
Er -2.365 -1.358 4.877
Er 2.359 -1.369 4.877
Er 0.006 2.727 4.877
```

Values from the calculation:
As for the space-group type: No. 148. The value obtained for the volume is 33.58 Å³ per atom.

Run Q
Here is a relaxed structure of CeSm12Er7 from the Alexandria database. Energies are from GGA-PBE.

The structure in extended XYZ format:
```
20
Lattice="8.474 4.893 2.701 -8.474 4.893 2.701 0.000 -9.785 2.701" Properties=species:S:1:pos:R:3 pbc="T T T"
Ce 0.000 0.000 0.000
Sm -2.440 -5.558 2.701
Sm -6.034 0.666 2.701
Sm -2.881 -1.663 2.397
Sm 2.440 -5.558 2.701
Sm -3.593 4.893 2.701
Sm 2.881 -1.663 2.397
Sm 0.000 3.326 2.397
Sm 0.000 -3.326 5.707
Sm -2.881 1.663 5.707
Sm 6.034 0.666 2.701
Sm 3.593 4.893 2.701
Sm 2.881 1.663 5.707
Er 0.000 -3.222 2.191
Er -2.790 1.611 2.191
Er 2.790 1.611 2.191
Er 0.000 0.000 4.052
Er -2.790 -1.611 5.913
Er 2.790 -1.611 5.913
Er 0.000 3.222 5.913
```

Values from the calculation:
As for the space-group type: No. 166. The value obtained for the volume is 33.60 Å³ per atom.

run Q (14 meV per atom below the next structure)

Run P
Here is a relaxed structure of CeSm8Er2 from the Alexandria database. Energies are from GGA-PBE.

The structure in extended XYZ format:
```
11
Lattice="9.175 -2.545 0.000 9.175 2.545 0.000 -2.118 0.000 7.758" Properties=species:S:1:pos:R:3 pbc="T T T"
Ce 0.000 0.000 0.000
Sm 0.717 0.000 3.524
Sm 1.391 0.000 7.061
Sm 4.942 0.000 6.334
Sm 7.769 0.000 2.084
Sm 8.464 0.000 5.674
Sm 11.291 0.000 1.424
Sm 14.842 0.000 0.698
Sm 15.516 0.000 4.234
Er 4.216 0.000 2.826
Er 12.017 0.000 4.933
```

Values from the calculation:
As for the space-group type: No. 12. The value obtained for the volume is 32.94 Å³ per atom.

Run Q
Here is a relaxed structure of CeSm8Er2 from the Alexandria database. Energies are from GGA-PBE.

The structure in extended XYZ format:
```
11
Lattice="9.655 -3.499 0.000 9.655 3.499 0.000 -0.306 0.000 5.634" Properties=species:S:1:pos:R:3 pbc="T T T"
Ce 0.000 0.000 0.000
Sm 7.009 1.628 1.502
Sm 3.548 0.000 1.306
Sm 11.994 1.628 4.131
Sm 8.550 0.000 4.292
Sm 10.453 0.000 1.342
Sm 7.009 -1.628 1.502
Sm 15.455 0.000 4.328
Sm 11.994 -1.628 4.131
Er 5.256 0.000 4.205
Er 13.747 0.000 1.429
```

Values from the calculation:
As for the space-group type: No. 12. The value obtained for the volume is 34.60 Å³ per atom.

run P (136 meV per atom below the next structure)

Run P
Here is a relaxed structure of CeSm2Er6 from the Alexandria database. Energies are from GGA-PBE.

The structure in extended XYZ format:
```
9
Lattice="3.637 2.100 6.267 -3.637 2.100 6.267 0.000 -4.200 6.267" Properties=species:S:1:pos:R:3 pbc="T T T"
Ce 0.000 0.000 0.000
Sm 0.000 0.000 4.909
Sm 0.000 0.000 8.240
Er -1.625 -0.938 11.045
Er -1.745 -1.007 14.692
Er 1.625 -0.938 11.045
Er 0.000 1.876 11.045
Er 1.745 -1.007 14.692
Er 0.000 2.015 14.692
```

Values from the calculation:
As for the space-group type: No. 160. The value obtained for the volume is 31.91 Å³ per atom.

Run Q
Here is a relaxed structure of CeSm2Er6 from the Alexandria database. Energies are from GGA-PBE.

The structure in extended XYZ format:
```
18
Lattice="4.451 -4.805 0.000 4.451 4.805 0.000 -1.873 0.000 13.123" Properties=species:S:1:pos:R:3 pbc="T T T"
Ce 3.046 4.783 9.842
Ce 3.983 -4.783 3.281
Sm 2.547 1.636 2.316
Sm 1.611 -1.636 8.878
Sm 5.418 1.636 4.245
Sm 4.482 -1.636 10.806
Er 4.363 3.185 0.113
Er 3.602 3.185 6.448
Er 1.820 1.586 8.623
Er 2.150 0.016 5.475
Er 1.214 -0.016 12.037
Er 4.273 1.586 11.061
Er 2.756 -1.586 2.062
Er 5.815 0.016 1.086
Er 4.879 -0.016 7.647
Er 5.209 -1.586 4.500
Er 3.427 -3.185 6.675
Er 2.665 -3.185 13.010
```

Values from the calculation:
As for the space-group type: No. 15. The value obtained for the volume is 31.18 Å³ per atom.

run Q (219 meV per atom below the next structure)

Run P
Here is a relaxed structure of CeSm2Er from the Alexandria database. Energies are from GGA-PBE.

The structure in extended XYZ format:
```
4
Lattice="5.042 0.000 0.000 0.000 5.042 0.000 0.000 0.000 5.040" Properties=species:S:1:pos:R:3 pbc="T T T"
Ce 0.000 0.000 0.000
Sm 0.000 2.521 2.520
Sm 2.521 0.000 2.520
Er 2.521 2.521 0.000
```

Values from the calculation:
As for the space-group type: No. 123. The value obtained for the volume is 32.04 Å³ per atom.

Run Q
Here is a relaxed structure of CeSm2Er from the Alexandria database. Energies are from GGA-PBE.

The structure in extended XYZ format:
```
4
Lattice="1.781 1.028 11.625 -1.781 1.028 11.625 0.000 -2.057 11.625" Properties=species:S:1:pos:R:3 pbc="T T T"
Ce 0.000 0.000 0.000
Sm 0.000 0.000 20.317
Sm 0.000 0.000 26.146
Er 0.000 0.000 5.794
```

Values from the calculation:
As for the space-group type: No. 160. The value obtained for the volume is 31.95 Å³ per atom.

Run R
Here is a relaxed structure of CeSm2Er from the Alexandria database. Energies are from GGA-PBE.

The structure in extended XYZ format:
```
4
Lattice="0.000 4.036 4.036 4.036 0.000 4.036 4.036 4.036 0.000" Properties=species:S:1:pos:R:3 pbc="T T T"
Ce 0.000 0.000 0.000
Sm 2.018 2.018 2.018
Sm 6.054 6.054 6.054
Er 4.036 4.036 4.036
```

Values from the calculation:
As for the space-group type: No. 225. The value obtained for the volume is 32.88 Å³ per atom.

Run S
Here is a relaxed structure of CeSm2Er from the Alexandria database. Energies are from GGA-PBE.

The structure in extended XYZ format:
```
4
Lattice="1.721 0.994 12.408 -1.721 0.994 12.408 0.000 -1.987 12.408" Properties=species:S:1:pos:R:3 pbc="T T T"
Ce 0.000 0.000 0.000
Sm 0.000 0.000 3.299
Sm 0.000 0.000 33.925
Er 0.000 0.000 18.612
```

Values from the calculation:
As for the space-group type: No. 166. The value obtained for the volume is 31.82 Å³ per atom.

run Q (10 meV per atom below the next structure)